No. 1
A plane-wave DFT calculation with GGA-PBE was carried out for a relaxed structure of PrNdCo2Ge2C.

Output
- Raw total energy: -6.595 eV/atom
- Mass density: 7.5 g/cm3

Cell: 5.8752 5.8752 7.0683 Å, 125.87 125.87 40.35°
Atoms (fractional coordinates):
C 0.0008 0.0008 0.0025
Co 0.1869 0.1869 0.0781
Co 0.8135 0.8135 0.9227
Ge 0.8271 0.8271 0.2765
Ge 0.1726 0.1726 0.7224
Nd 0.5589 0.5589 0.2969
Pr 0.4402 0.4402 0.7011

---

No. 2
A plane-wave DFT calculation with GGA-PBE was carried out for a relaxed structure of NdYCo2Ge2C.

Output
- Raw total energy: -6.867 eV/atom
- Mass density: 7.2 g/cm3

Cell: 5.7841 5.7841 6.9549 Å, 125.85 125.85 40.36°
Atoms (fractional coordinates):
C 0.9971 0.9971 0.9907
Co 0.1891 0.1891 0.0791
Co 0.8096 0.8096 0.9190
Ge 0.8348 0.8348 0.2917
Ge 0.1673 0.1673 0.7141
Nd 0.5601 0.5601 0.2970
Y 0.4420 0.4420 0.7084

---

No. 3
A plane-wave DFT calculation with GGA-PBE was carried out for a relaxed structure of TbPrCo2Ge2C.

Output
- Raw total energy: -6.594 eV/atom
- Mass density: 8.0 g/cm3

Cell: 5.8133 5.8133 6.9870 Å, 125.95 125.95 40.29°
Atoms (fractional coordinates):
C 0.9965 0.9965 0.9892
Co 0.1878 0.1878 0.0775
Co 0.8103 0.8103 0.9197
Ge 0.8327 0.8327 0.2881
Ge 0.1693 0.1693 0.7180
Pr 0.5605 0.5605 0.2987
Tb 0.4427 0.4427 0.7088

---

No. 4
A plane-wave DFT calculation with GGA-PBE was carried out for a relaxed structure of PrTmCo2Ge2C.

Output
- Raw total energy: -6.560 eV/atom
- Mass density: 8.3 g/cm3

Cell: 5.7813 5.7813 6.9372 Å, 125.95 125.95 40.27°
Atoms (fractional coordinates):
C 0.0054 0.0054 0.0163
Co 0.1914 0.1914 0.0822
Co 0.8116 0.8116 0.9220
Ge 0.8327 0.8327 0.2853
Ge 0.1641 0.1641 0.7051
Pr 0.4387 0.4387 0.7009
Tm 0.5563 0.5563 0.2882

---

No. 5
A plane-wave DFT calculation with GGA-PBE was carried out for a relaxed structure of PrYCo2Ge2C.

Output
- Raw total energy: -6.856 eV/atom
- Mass density: 7.0 g/cm3

Cell: 5.8140 5.8140 6.9801 Å, 125.92 125.92 40.28°
Atoms (fractional coordinates):
C 0.0034 0.0034 0.0107
Co 0.1897 0.1897 0.0809
Co 0.8119 0.8119 0.9217
Ge 0.8307 0.8307 0.2820
Ge 0.1673 0.1673 0.7117
Pr 0.4393 0.4393 0.7009
Y 0.5577 0.5577 0.2921

---

No. 6
A plane-wave DFT calculation with GGA-PBE was carried out for a relaxed structure of Sc4CoGeC2.

Output
- Raw total energy: -7.342 eV/atom
- Mass density: 4.4 g/cm3

Cell: 3.2885 3.2885 13.5441 Å, 90.00 90.00 120.00°
Each line ends with the local moment (μB).
Atoms (fractional coordinates):
C 0.3333 0.6667 0.2393  -0.01
C 0.3333 0.6667 0.7607  -0.01
Co 0.0000 0.0000 0.0000  -0.92
Ge 0.6667 0.3333 0.5000  0.00
Sc 0.6667 0.3333 0.1455  0.08
Sc 0.0000 0.0000 0.3292  0.01
Sc 0.0000 0.0000 0.6708  0.01
Sc 0.6667 0.3333 0.8545  0.08

---

No. 7
A plane-wave DFT calculation with GGA-PBE was carried out for a relaxed structure of Tb2Co2SiGeC.

Output
- Raw total energy: -6.757 eV/atom
- Mass density: 8.2 g/cm3

Cell: 5.6835 5.6835 6.8487 Å, 126.22 126.22 40.29°
Atoms (fractional coordinates):
C 0.0018 0.0018 0.0022
Co 0.1975 0.1975 0.0893
Co 0.8086 0.8086 0.9237
Ge 0.1578 0.1578 0.7002
Si 0.8352 0.8352 0.2882
Tb 0.5606 0.5606 0.2933
Tb 0.4384 0.4384 0.7031

---

No. 8
A plane-wave DFT calculation with GGA-PBE was carried out for a relaxed structure of CoGeW4C2.

Output
- Raw total energy: -10.036 eV/atom
- Mass density: 14.2 g/cm3

Cell: 3.0880 3.0880 12.6045 Å, 90.00 90.00 120.00°
Each line ends with the local moment (μB).
Atoms (fractional coordinates):
C 0.3333 0.6667 0.2546  0.00
C 0.3333 0.6667 0.7454  0.00
Co 0.6667 0.3333 0.5000  0.30
Ge 0.0000 0.0000 0.0000  0.00
W 0.6667 0.3333 0.1626  -0.01
W 0.0000 0.0000 0.3484  0.01
W 0.0000 0.0000 0.6516  0.01
W 0.6667 0.3333 0.8374  -0.01

---

No. 9
A plane-wave DFT calculation with GGA-PBE was carried out for a relaxed structure of Zr4CoGeC2.

Output
- Raw total energy: -8.619 eV/atom
- Mass density: 6.8 g/cm3

Cell: 3.2973 3.2973 13.5262 Å, 90.00 90.00 120.00°
Each line ends with the local moment (μB).
Atoms (fractional coordinates):
C 0.0000 0.0000 0.2444  0.00
C 0.0000 0.0000 0.7556  0.00
Co 0.3333 0.6667 0.0000  0.37
Ge 0.6667 0.3333 0.5000  0.00
Zr 0.6667 0.3333 0.1431  -0.02
Zr 0.3333 0.6667 0.3386  0.01
Zr 0.3333 0.6667 0.6614  0.01
Zr 0.6667 0.3333 0.8569  -0.02